! BaYMoO6, relaxed, DFT PBE with a Hubbard U; values from VASP
&SYSTEM
  ibrav = 0, nat = 9, ntyp = 4
/
ATOMIC_SPECIES
Ba 137.33 Ba.upf
Y 88.91 Y.upf
Mo 95.94 Mo.upf
O 16.00 O.upf
CELL_PARAMETERS angstrom
5.7256 0.0634 0.0294
2.9180 4.9269 -0.0280
0.0287 -0.0503 5.5963
ATOMIC_POSITIONS angstrom
Ba 8.6671 4.9370 5.5970
Y 5.7721 3.2991 2.7988
Mo 2.9737 1.6829 2.7985
O 1.2970 1.7489 1.6718
O 2.1901 0.1985 3.9234
O 4.5145 1.7603 3.9073
O 1.9636 2.9035 3.9120
O 3.8100 2.9809 1.6911
O 3.5284 0.1992 1.6866
! Crystal system: monoclinic
! Total DFT energy (no corrections) (eV/cell): -65.73